Record 1
Sr3GePb: relaxed, PBEsol.

Results
Total magnetization ... 1.33 μB per cell
DOS(E_F) ... 6.196 states/eV/cell
ΔE_f ... 65 kJ/mol of formula units
Final energy ... -0.203 Ry per atom

a b c (Å): 6.188 6.188 6.188
angles (deg): 90.00 90.00 90.00
Sites, in units of the cell vectors:
1 Sr 0.000 0.000 0.500
2 Sr 0.000 0.500 0.000
3 Sr 0.500 0.000 0.000
4 Ge 0.500 0.500 0.500
5 Pb 0.000 0.000 0.000

***

Record 2
SrGePb3: relaxed, PBEsol.

Results
Total magnetization ... 0.00 μB per cell
DOS(E_F) ... 3.835 states/eV/cell
ΔE_f ... 52 kJ/mol of formula units
Final energy ... -0.268 Ry per atom

a b c (Å): 5.524 5.524 5.524
angles (deg): 90.00 90.00 90.00
Sites, in units of the cell vectors:
1 Sr 0.000 0.000 0.000
2 Ge 0.500 0.500 0.500
3 Pb 0.000 0.500 0.500
4 Pb 0.500 0.000 0.500
5 Pb 0.500 0.500 0.000

***

Record 3
Sr2Ge2Pb: relaxed, PBEsol.

Results
Total magnetization ... 0.00 μB per cell
DOS(E_F) ... 4.751 states/eV/cell
ΔE_f ... -270 kJ/mol of formula units
Final energy ... -0.299 Ry per atom

a b c (Å): 7.716 7.716 4.659
angles (deg): 90.00 90.00 90.00
Sites, in units of the cell vectors:
1 Sr 0.179 0.321 0.000
2 Sr 0.321 0.821 0.000
3 Sr 0.679 0.179 0.000
4 Sr 0.821 0.679 0.000
5 Ge 0.114 0.614 0.500
6 Ge 0.386 0.114 0.500
7 Ge 0.614 0.886 0.500
8 Ge 0.886 0.386 0.500
9 Pb 0.000 0.000 0.500
10 Pb 0.500 0.500 0.500

***

Record 4
SrGe3Pb: relaxed, PBEsol.

Results
Total magnetization ... 0.00 μB per cell
DOS(E_F) ... 6.121 states/eV/cell
ΔE_f ... 507 kJ/mol of formula units
Final energy ... -0.226 Ry per atom

a b c (Å): 5.453 5.453 5.453
angles (deg): 90.00 90.00 90.00
Sites, in units of the cell vectors:
1 Sr 0.000 0.000 0.000
2 Ge 0.000 0.000 0.500
3 Ge 0.000 0.500 0.000
4 Ge 0.500 0.000 0.000
5 Pb 0.500 0.500 0.500

***

Record 5
SrGePbW2: relaxed, PBEsol.

Results
Total magnetization ... 0.00 μB per cell
DOS(E_F) ... 5.598 states/eV/cell
ΔE_f ... 605 kJ/mol of formula units
Final energy ... -0.472 Ry per atom

a b c (Å): 4.722 4.722 5.470
angles (deg): 90.00 90.00 90.00
Sites, in units of the cell vectors:
1 Sr 0.000 0.000 0.000
2 Ge 0.000 0.000 0.500
3 Pb 0.500 0.500 0.000
4 W 0.000 0.500 0.500
5 W 0.500 0.000 0.500

***

Record 6
SrY2GePb: relaxed, PBEsol.

Results
Total magnetization ... 0.00 μB per cell
DOS(E_F) ... 7.077 states/eV/cell
ΔE_f ... 594 kJ/mol of formula units
Final energy ... -0.269 Ry per atom

a b c (Å): 5.543 5.543 5.724
angles (deg): 90.00 90.00 90.00
Sites, in units of the cell vectors:
1 Sr 0.000 0.000 0.000
2 Y 0.000 0.500 0.000
3 Y 0.500 0.000 0.000
4 Ge 0.500 0.500 0.500
5 Pb 0.000 0.000 0.500